Record 1
NdDy8Y3: relaxed, PBE.

```
12
Lattice="-3.219 5.665 5.679 3.219 -5.665 5.679 3.219 5.665 -5.679" Properties=species:S:1:pos:R:3 pbc="T T T"
Nd 0.000 0.000 0.000
Dy 3.219 3.750 -2.833
Dy 1.591 2.886 0.000
Dy 1.627 -2.778 5.679
Dy 0.000 1.914 2.846
Dy 3.219 3.750 2.833
Dy 1.591 8.443 0.000
Dy 1.627 2.778 5.679
Dy 0.000 1.914 8.512
Y 3.219 0.000 2.894
Y 0.000 0.000 5.679
Y 0.000 5.665 2.785
```

Output
- ΔH_f (0 K): 362 kJ/mol of formula units
- Symmetry: Immm, No. 71
- VASP energy: -57.22 eV for the cell shown
- Density: 6.860 g/cm³
- D(E_F): 15.01 states/eV per cell

Record 2
Ga2Ag2SeS3: relaxed, PBE.

```
8
Lattice="6.090 -2.900 0.000 6.090 2.900 0.000 -2.785 0.000 5.194" Properties=species:S:1:pos:R:3 pbc="T T T"
Ga 0.478 0.000 1.982
Ga 8.917 0.000 3.212
Ag 4.106 -0.102 0.670
Ag 5.289 -0.102 4.524
Se 6.090 1.568 0.000
S 2.230 1.443 1.504
S 7.164 1.443 3.691
S 4.697 -1.676 2.597
```

Output
- Symmetry: C2, No. 5
- Uncorrected formation energy: -0.490 eV/atom
- VASP energy: -31.55 eV for the cell shown
- Density: 4.800 g/cm³